A plane-wave DFT calculation with PBE+U was carried out for a relaxed CoRePO crystal.

Symmetry: Pmc2_1 (26)
Crystal system: orthorhombic
ρ: 9.34 Mg/m³
Distance to the lowest polymorph of the same formula: 0.0 meV/atom

Cell: 3.0254 5.9817 5.7400 Å, 90.00 90.00 90.00°
Fractional coordinates of all 8 atoms:
Co 0.0000 0.0820 0.0000
Co 0.0000 0.9180 0.5000
Re 0.5000 0.4951 0.6133
Re 0.5000 0.5049 0.1133
P 0.0000 0.2775 0.3843
P 0.0000 0.7225 0.8843
O 0.5000 0.2543 0.8721
O 0.5000 0.7457 0.3721